Computed, not measured: a relaxed PmMgAg crystal at the PBE level of DFT.

Computed properties:
- Energy: -29.954 eV for the cell shown
- N(E_F): 9.6 states/eV per cell
- V: 224 Å³ per cell
- Energy above the lowest structure with this stoichiometry: 0 meV/atom
- Formation energy from the elements: -0.79 eV/f.u.

Structure (POSCAR):
```
PmMgAg
1.0
7.673 0.000 0.000
-3.836 6.645 0.000
0.000 0.000 4.394
Pm Mg Ag
3 3 3
Cartesian
-1.597 2.765 0.000
3.193 0.000 0.000
2.240 3.880 0.000
-2.915 5.050 2.197
0.921 1.595 2.197
5.831 0.000 2.197
0.000 0.000 0.000
0.000 4.430 2.197
3.836 2.215 2.197
```

***

Computed, not measured: a relaxed PmMgAg6 crystal at the PBE level of DFT.

Computed properties:
- Energy: -24.086 eV for the cell shown
- N(E_F): 5.2 states/eV per cell
- V: 161 Å³ per cell
- Formation energy from the elements: -0.63 eV/f.u.

Structure (POSCAR):
```
PmMgAg6
1.0
4.300 0.000 0.000
0.000 4.300 0.000
0.000 0.000 8.703
Pm Mg Ag
1 1 6
Cartesian
0.000 0.000 0.000
0.000 0.000 4.351
0.000 2.150 2.333
0.000 2.150 6.370
2.150 0.000 2.333
2.150 0.000 6.370
2.150 2.150 0.000
2.150 2.150 4.351
```

***

Computed, not measured: a relaxed Pm5Mg2Ag12 crystal at the PBE level of DFT.

Computed properties:
- Energy: -64.932 eV for the cell shown
- N(E_F): 10.8 states/eV per cell
- V: 430 Å³ per cell
- Formation energy from the elements: -3.77 eV/f.u.

Structure (POSCAR):
```
Pm5Mg2Ag12
1.0
7.958 -3.787 0.000
7.958 3.787 0.000
-0.199 0.000 7.139
Pm Mg Ag
5 2 12
Cartesian
0.000 0.000 0.000
3.718 0.000 6.704
4.683 0.000 3.302
11.035 0.000 3.837
12.001 0.000 0.435
7.859 1.668 3.570
7.859 -1.668 3.570
5.508 2.349 5.340
1.634 0.000 4.274
6.235 1.478 1.095
10.211 2.349 1.800
9.483 1.478 6.044
6.985 0.000 5.816
8.733 0.000 1.324
6.235 -1.478 1.095
5.508 -2.349 5.340
9.483 -1.478 6.044
14.085 0.000 2.866
10.211 -2.349 1.800
```